Entry 1:
Below is a PBEsol-optimized structure of LaFeTe2, with properties calculated at the SCAN level.

Calculated values
- Uncorrected formation energy: -468.7 meV/atom
- D(E_F): 0.74 states/eV per atom
- E_tot: -34.40 eV per atom

Cell and atoms, written as CIF:
```
data_LaFeTe2
_chemical_formula_sum 'La2 Fe2 Te4'
_space_group_name_H-M_alt 'I -4 m 2'
_space_group_IT_number 119
_space_group_name_Hall 'I -4 -2'
_cell_length_a 4.345
_cell_length_b 4.345
_cell_length_c 10.659
_cell_angle_alpha 90.00
_cell_angle_beta 90.00
_cell_angle_gamma 90.00
loop_
_atom_site_label
_atom_site_type_symbol
_atom_site_fract_x
_atom_site_fract_y
_atom_site_fract_z
La1 La 0.000 0.000 0.000
Fe1 Fe 0.000 0.500 0.750
Te1 Te 0.000 0.000 0.500
Te2 Te 0.000 0.500 0.250
```



Entry 2:
Below is a PBEsol-optimized structure of Y2SiCl, with properties calculated at the SCAN level.

Calculated values
- Uncorrected formation energy: 8.1 meV/atom
- D(E_F): 0.66 states/eV per atom
- ΔE to the lowest computed polymorph: 1285 meV/atom
- E_tot: -18.41 eV per atom

Cell and atoms, written as CIF:
```
data_Y2SiCl
_chemical_formula_sum 'Y8 Si4 Cl4'
_space_group_name_H-M_alt 'F -4 3 m'
_space_group_IT_number 216
_space_group_name_Hall 'F -4 2 3'
_cell_length_a 7.025
_cell_length_b 7.025
_cell_length_c 7.025
_cell_angle_alpha 90.00
_cell_angle_beta 90.00
_cell_angle_gamma 90.00
loop_
_atom_site_label
_atom_site_type_symbol
_atom_site_fract_x
_atom_site_fract_y
_atom_site_fract_z
Y1 Y 0.000 0.000 0.000
Y2 Y 0.250 0.250 0.250
Si1 Si 0.250 0.250 0.750
Cl1 Cl 0.000 0.000 0.500
```



Entry 3:
Below is a PBEsol-optimized structure of CaCr2SnH, with properties calculated at the SCAN level.

Calculated values
- D(E_F): 0.70 states/eV per atom
- E_tot: -16.36 eV per atom

Cell and atoms, written as CIF:
```
data_CaCr2SnH
_chemical_formula_sum 'Ca1 Cr2 Sn1 H1'
_space_group_name_H-M_alt 'P 4/m m m'
_space_group_IT_number 123
_space_group_name_Hall '-P 4 2'
_cell_length_a 5.091
_cell_length_b 5.091
_cell_length_c 6.005
_cell_angle_alpha 90.00
_cell_angle_beta 90.00
_cell_angle_gamma 90.00
loop_
_atom_site_label
_atom_site_type_symbol
_atom_site_fract_x
_atom_site_fract_y
_atom_site_fract_z
Ca1 Ca 0.000 0.000 0.000
Cr1 Cr 0.000 0.500 0.500
Sn1 Sn 0.000 0.000 0.500
H1 H 0.500 0.500 0.000
```



Entry 4:
Below is a PBEsol-optimized structure of HfCd2Ga2, with properties calculated at the SCAN level.

Calculated values
- D(E_F): 0.37 states/eV per atom
- E_form: 0.027 eV per atom
- E_tot: -31.21 eV per atom

Cell and atoms, written as CIF:
```
data_HfCd2Ga2
_chemical_formula_sum 'Hf2 Cd4 Ga4'
_space_group_name_H-M_alt 'I 4/m m m'
_space_group_IT_number 139
_space_group_name_Hall '-I 4 2'
_cell_length_a 3.989
_cell_length_b 3.989
_cell_length_c 11.842
_cell_angle_alpha 90.00
_cell_angle_beta 90.00
_cell_angle_gamma 90.00
loop_
_atom_site_label
_atom_site_type_symbol
_atom_site_fract_x
_atom_site_fract_y
_atom_site_fract_z
Hf1 Hf 0.000 0.000 0.000
Cd1 Cd 0.000 0.500 0.250
Ga1 Ga 0.000 0.000 0.403
```



Entry 5:
Below is a PBEsol-optimized structure of KAsO3, with properties calculated at the SCAN level.

Calculated values
- Uncorrected formation energy: 1305.2 meV/atom
- D(E_F): 0.49 states/eV per atom
- E_tot: -8.14 eV per atom

Cell and atoms, written as CIF:
```
data_KAsO3
_chemical_formula_sum 'K1 As1 O3'
_space_group_name_H-M_alt 'P m -3 m'
_space_group_IT_number 221
_space_group_name_Hall '-P 4 2 3'
_cell_length_a 4.176
_cell_length_b 4.176
_cell_length_c 4.176
_cell_angle_alpha 90.00
_cell_angle_beta 90.00
_cell_angle_gamma 90.00
loop_
_atom_site_label
_atom_site_type_symbol
_atom_site_fract_x
_atom_site_fract_y
_atom_site_fract_z
K1 K 0.000 0.000 0.000
As1 As 0.500 0.500 0.500
O1 O 0.000 0.000 0.500
```



Entry 6:
Below is a PBEsol-optimized structure of KScW2, with properties calculated at the SCAN level.

Calculated values
- D(E_F): 1.17 states/eV per atom
- ΔE to the lowest computed polymorph: 0 meV/atom
- E_form: 0.756 eV per atom
- E_tot: -39.73 eV per atom

Cell and atoms, written as CIF:
```
data_KScW2
_chemical_formula_sum 'K2 Sc2 W4'
_space_group_name_H-M_alt 'C m m 2'
_space_group_IT_number 35
_space_group_name_Hall 'C 2 -2'
_cell_length_a 3.216
_cell_length_b 4.827
_cell_length_c 10.901
_cell_angle_alpha 90.00
_cell_angle_beta 90.00
_cell_angle_gamma 90.00
loop_
_atom_site_label
_atom_site_type_symbol
_atom_site_fract_x
_atom_site_fract_y
_atom_site_fract_z
K1 K 0.000 0.000 0.000
Sc1 Sc 0.000 0.500 0.676
W1 W 0.000 0.000 0.464
W2 W 0.000 0.500 0.281
```



Entry 7:
Below is a PBEsol-optimized structure of Y2WBr, with properties calculated at the SCAN level.

Calculated values
- Uncorrected formation energy: -137.4 meV/atom
- D(E_F): 1.48 states/eV per atom
- ΔE to the lowest computed polymorph: 0 meV/atom
- E_tot: -36.35 eV per atom

Cell and atoms, written as CIF:
```
data_Y2WBr
_chemical_formula_sum 'Y6 W3 Br3'
_space_group_name_H-M_alt 'R -3 m'
_space_group_IT_number 166
_space_group_name_Hall '-R 3 2"'
_cell_length_a 3.4866
_cell_length_b 3.4866
_cell_length_c 26.4925
_cell_angle_alpha 90.00
_cell_angle_beta 90.00
_cell_angle_gamma 120.00
loop_
_atom_site_label
_atom_site_type_symbol
_atom_site_fract_x
_atom_site_fract_y
_atom_site_fract_z
Y1 Y 0.0000 0.0000 0.2459
W1 W 0.0000 0.0000 0.5000
Br1 Br 0.0000 0.0000 0.0000
```



Entry 8:
Below is a PBEsol-optimized structure of YZnTe2, with properties calculated at the SCAN level.

Calculated values
- Uncorrected formation energy: -603.3 meV/atom
- D(E_F): 0.58 states/eV per atom
- ΔE to the lowest computed polymorph: 409 meV/atom
- E_tot: -29.57 eV per atom

Cell and atoms, written as CIF:
```
data_YZnTe2
_chemical_formula_sum 'Y2 Zn2 Te4'
_space_group_name_H-M_alt 'I 4/m m m'
_space_group_IT_number 139
_space_group_name_Hall '-I 4 2'
_cell_length_a 5.181
_cell_length_b 5.181
_cell_length_c 7.516
_cell_angle_alpha 90.00
_cell_angle_beta 90.00
_cell_angle_gamma 90.00
loop_
_atom_site_label
_atom_site_type_symbol
_atom_site_fract_x
_atom_site_fract_y
_atom_site_fract_z
Y1 Y 0.000 0.000 0.000
Zn1 Zn 0.000 0.000 0.500
Te1 Te 0.000 0.500 0.250
```



Entry 9:
Below is a PBEsol-optimized structure of La2ClF, with properties calculated at the SCAN level.

Calculated values
- Uncorrected formation energy: -1715.7 meV/atom
- D(E_F): 0.91 states/eV per atom
- E_tot: -26.15 eV per atom

Cell and atoms, written as CIF:
```
data_La2ClF
_chemical_formula_sum 'La8 Cl4 F4'
_space_group_name_H-M_alt 'F m -3 m'
_space_group_IT_number 225
_space_group_name_Hall '-F 4 2 3'
_cell_length_a 6.891
_cell_length_b 6.891
_cell_length_c 6.891
_cell_angle_alpha 90.00
_cell_angle_beta 90.00
_cell_angle_gamma 90.00
loop_
_atom_site_label
_atom_site_type_symbol
_atom_site_fract_x
_atom_site_fract_y
_atom_site_fract_z
La1 La 0.250 0.250 0.250
Cl1 Cl 0.000 0.000 0.000
F1 F 0.000 0.000 0.500
```



Entry 10:
Below is a PBEsol-optimized structure of K2MgFe, with properties calculated at the SCAN level.

Calculated values
- D(E_F): 0.50 states/eV per atom
- ΔE to the lowest computed polymorph: 241 meV/atom
- E_form: 0.779 eV per atom
- E_tot: -9.16 eV per atom

Cell and atoms, written as CIF:
```
data_K2MgFe
_chemical_formula_sum 'K2 Mg1 Fe1'
_space_group_name_H-M_alt 'P m m m'
_space_group_IT_number 47
_space_group_name_Hall '-P 2 2'
_cell_length_a 3.306
_cell_length_b 5.548
_cell_length_c 6.832
_cell_angle_alpha 90.00
_cell_angle_beta 90.00
_cell_angle_gamma 90.00
loop_
_atom_site_label
_atom_site_type_symbol
_atom_site_fract_x
_atom_site_fract_y
_atom_site_fract_z
K1 K 0.000 0.000 0.236
Mg1 Mg 0.500 0.500 0.500
Fe1 Fe 0.500 0.500 0.000
```



Entry 11:
Below is a PBEsol-optimized structure of CuTe2Br, with properties calculated at the SCAN level.

Calculated values
- Uncorrected formation energy: -217.5 meV/atom
- E_tot: -27.51 eV per atom

Cell and atoms, written as CIF:
```
data_CuTe2Br
_chemical_formula_sum 'Cu4 Te8 Br4'
_space_group_name_H-M_alt 'P 1 21/c 1'
_space_group_IT_number 14
_space_group_name_Hall '-P 2ybc'
_cell_length_a 8.293
_cell_length_b 4.941
_cell_length_c 12.139
_cell_angle_alpha 90.00
_cell_angle_beta 116.68
_cell_angle_gamma 90.00
loop_
_atom_site_label
_atom_site_type_symbol
_atom_site_fract_x
_atom_site_fract_y
_atom_site_fract_z
Cu1 Cu 0.182 0.139 0.250
Te1 Te 0.269 0.010 0.637
Te2 Te 0.420 0.712 0.861
Br1 Br 0.091 0.108 0.885
```



Entry 12:
Below is a PBEsol-optimized structure of CsLiBr2, with properties calculated at the SCAN level.

Calculated values
- Uncorrected formation energy: -1835.0 meV/atom
- D(E_F): 0.00 states/eV per atom
- E_tot: -21.61 eV per atom

Cell and atoms, written as CIF:
```
data_CsLiBr2
_chemical_formula_sum 'Cs4 Li4 Br8'
_space_group_name_H-M_alt 'I -4 2 d'
_space_group_IT_number 122
_space_group_name_Hall 'I -4 2bw'
_cell_length_a 7.864
_cell_length_b 7.864
_cell_length_c 8.510
_cell_angle_alpha 90.00
_cell_angle_beta 90.00
_cell_angle_gamma 90.00
loop_
_atom_site_label
_atom_site_type_symbol
_atom_site_fract_x
_atom_site_fract_y
_atom_site_fract_z
Cs1 Cs 0.000 0.000 0.000
Li1 Li 0.000 0.000 0.500
Br1 Br 0.148 0.750 0.625
```